[1]
VASP calculation (PBE) on crystalline MgAlIr2 at its relaxed geometry.

Geometry as POSCAR:
```
MgAlIr2
1.0
6.989 0.000 0.000
0.000 6.989 0.000
0.000 0.000 5.458
Mg Al Ir
4 4 8
direct
0.000 0.000 0.000
0.000 0.500 0.250
0.500 0.000 0.750
0.500 0.500 0.500
0.000 0.000 0.500
0.000 0.500 0.750
0.500 0.000 0.250
0.500 0.500 0.000
0.212 0.250 0.625
0.250 0.712 0.875
0.250 0.788 0.375
0.288 0.250 0.125
0.712 0.750 0.125
0.750 0.212 0.375
0.750 0.288 0.875
0.788 0.750 0.625
```

Output
V ... 16.7 A^3/atom
Magnetization ... 0.0 μB per cell
Total energy ... -5.765 eV per atom

=====

[2]
VASP calculation (PBE) on crystalline MgAl2Ir at its relaxed geometry.

Geometry as POSCAR:
```
MgAl2Ir
1.0
3.971 0.000 0.000
0.000 3.971 0.000
0.000 0.000 3.889
Mg Al Ir
1 2 1
direct
0.000 0.000 0.000
0.000 0.500 0.500
0.500 0.000 0.500
0.500 0.500 0.000
```

Output
V ... 15.3 A^3/atom
Magnetization ... 0.0 μB per cell
Total energy ... -4.889 eV per atom

=====

[3]
VASP calculation (PBE) on crystalline MgAl2Ir at its relaxed geometry.

Geometry as POSCAR:
```
MgAl2Ir
1.0
4.069 0.000 0.000
0.000 4.069 0.000
0.000 0.000 7.333
Mg Al Ir
2 4 2
direct
0.000 0.000 0.000
0.500 0.500 0.500
0.000 0.500 0.250
0.000 0.500 0.750
0.500 0.000 0.250
0.500 0.000 0.750
0.000 0.000 0.500
0.500 0.500 0.000
```

Output
V ... 15.2 A^3/atom
Magnetization ... 0.0 μB per cell
Total energy ... -4.987 eV per atom

=====

[4]
VASP calculation (PBE) on crystalline MgAlIr2 at its relaxed geometry.

Geometry as POSCAR:
```
MgAlIr2
1.0
3.044 0.000 0.000
0.000 4.769 0.000
0.000 0.000 8.319
Mg Al Ir
2 2 4
direct
0.000 0.000 0.000
0.500 0.500 0.000
0.000 0.000 0.500
0.500 0.500 0.500
0.000 0.500 0.266
0.000 0.500 0.734
0.500 0.000 0.266
0.500 0.000 0.734
```

Output
V ... 15.1 A^3/atom
Magnetization ... 0.0 μB per cell
Total energy ... -6.133 eV per atom

=====

[5]
VASP calculation (PBE) on crystalline Mg2AlIr at its relaxed geometry.

Geometry as POSCAR:
```
Mg2AlIr
1.0
9.654 0.000 0.000
0.000 3.131 0.000
-1.631 0.000 4.447
Mg Al Ir
4 2 2
direct
0.000 0.000 0.000
0.225 0.000 0.758
0.500 0.500 0.000
0.725 0.500 0.758
0.455 0.000 0.440
0.955 0.500 0.440
0.238 0.500 0.286
0.738 0.000 0.286
```

Output
V ... 16.8 A^3/atom
Magnetization ... 0.0 μB per cell
Total energy ... -4.287 eV per atom

=====

[6]
VASP calculation (PBE) on crystalline Mg2AlIr at its relaxed geometry.

Geometry as POSCAR:
```
Mg2AlIr
1.0
4.277 0.000 0.000
0.000 3.073 0.000
0.000 0.000 10.606
Mg Al Ir
4 2 2
direct
0.000 0.000 0.000
0.000 0.500 0.500
0.500 0.000 0.337
0.500 0.500 0.837
0.500 0.000 0.615
0.500 0.500 0.115
0.000 0.000 0.730
0.000 0.500 0.230
```

Output
V ... 17.4 A^3/atom
Magnetization ... 0.0 μB per cell
Total energy ... -4.272 eV per atom

=====

[7]
VASP calculation (PBE) on crystalline MgAl2Ir at its relaxed geometry.

Geometry as POSCAR:
```
MgAl2Ir
1.0
6.211 0.000 0.000
0.000 6.211 0.000
0.000 0.000 6.211
Mg Al Ir
4 8 4
direct
0.000 0.000 0.000
0.000 0.500 0.500
0.500 0.000 0.500
0.500 0.500 0.000
0.250 0.250 0.250
0.250 0.250 0.750
0.250 0.750 0.250
0.250 0.750 0.750
0.750 0.250 0.250
0.750 0.250 0.750
0.750 0.750 0.250
0.750 0.750 0.750
0.000 0.000 0.500
0.000 0.500 0.000
0.500 0.000 0.000
0.500 0.500 0.500
```

Output
V ... 15.0 A^3/atom
Magnetization ... 0.0 μB per cell
Total energy ... -4.981 eV per atom

=====

[8]
VASP calculation (PBE) on crystalline MgAl2Ir at its relaxed geometry.

Geometry as POSCAR:
```
MgAl2Ir
1.0
3.032 0.000 0.000
0.000 4.290 0.000
-1.476 0.000 4.986
Mg Al Ir
1 2 1
direct
0.000 0.000 0.000
0.273 0.000 0.536
0.672 0.500 0.330
0.397 0.500 0.785
```

Output
V ... 16.2 A^3/atom
Magnetization ... 0.0 μB per cell
Total energy ... -4.865 eV per atom

=====

[9]
VASP calculation (PBE) on crystalline MgAlIr at its relaxed geometry.

Geometry as POSCAR:
```
MgAlIr
1.0
4.270 0.000 0.000
0.000 4.270 0.000
0.000 0.000 6.097
Mg Al Ir
2 2 2
direct
0.250 0.750 0.000
0.750 0.250 0.000
0.250 0.750 0.500
0.750 0.250 0.500
0.250 0.250 0.282
0.750 0.750 0.718
```

Output
V ... 18.5 A^3/atom
Magnetization ... 0.0 μB per cell
Total energy ... -5.211 eV per atom

=====

[10]
VASP calculation (PBE) on crystalline MgAlIr2 at its relaxed geometry.

Geometry as POSCAR:
```
MgAlIr2
1.0
2.917 0.000 0.000
-1.459 2.526 0.000
0.000 0.000 24.630
Mg Al Ir
3 3 6
direct
0.000 0.000 0.000
0.333 0.667 0.667
0.667 0.333 0.333
0.000 0.000 0.500
0.333 0.667 0.167
0.667 0.333 0.833
0.000 0.000 0.245
0.000 0.000 0.755
0.333 0.667 0.422
0.333 0.667 0.911
0.667 0.333 0.089
0.667 0.333 0.578
```

Output
V ... 15.1 A^3/atom
Magnetization ... 0.0 μB per cell
Total energy ... -6.189 eV per atom

=====

[11]
VASP calculation (PBE) on crystalline MgAl2Ir at its relaxed geometry.

Geometry as POSCAR:
```
MgAl2Ir
1.0
2.974 0.000 0.000
-1.487 2.575 0.000
0.000 0.000 26.146
Mg Al Ir
3 6 3
direct
0.000 0.000 0.000
0.333 0.667 0.667
0.667 0.333 0.333
0.000 0.000 0.241
0.000 0.000 0.759
0.333 0.667 0.426
0.333 0.667 0.907
0.667 0.333 0.093
0.667 0.333 0.574
0.000 0.000 0.500
0.333 0.667 0.167
0.667 0.333 0.833
```

Output
V ... 16.7 A^3/atom
Magnetization ... 0.0 μB per cell
Total energy ... -4.773 eV per atom

=====

[12]
VASP calculation (PBE) on crystalline MgAl2Ir at its relaxed geometry.

Geometry as POSCAR:
```
MgAl2Ir
1.0
3.939 0.000 0.000
0.000 3.939 0.000
0.000 0.000 7.909
Mg Al Ir
2 4 2
direct
0.000 0.000 0.000
0.500 0.500 0.500
0.000 0.000 0.500
0.000 0.500 0.250
0.500 0.000 0.750
0.500 0.500 0.000
0.000 0.500 0.750
0.500 0.000 0.250
```

Output
V ... 15.3 A^3/atom
Magnetization ... 0.0 μB per cell
Total energy ... -4.924 eV per atom

=====

[13]
VASP calculation (PBE) on crystalline Mg2AlIr at its relaxed geometry.

Geometry as POSCAR:
```
Mg2AlIr
1.0
3.929 0.000 0.000
0.000 3.950 0.000
0.000 0.000 4.204
Mg Al Ir
2 1 1
direct
0.000 0.000 0.000
0.500 0.500 0.000
0.000 0.500 0.500
0.500 0.000 0.500
```

Output
V ... 16.3 A^3/atom
Magnetization ... 0.0 μB per cell
Total energy ... -4.259 eV per atom

=====

[14]
VASP calculation (PBE) on crystalline MgAl4Ir at its relaxed geometry.

Geometry as POSCAR:
```
MgAl4Ir
1.0
5.711 0.000 0.000
-1.975 6.250 0.000
-0.896 -3.701 5.677
Mg Al Ir
2 8 2
direct
0.143 0.152 0.430
0.857 0.848 0.570
0.115 0.820 0.956
0.218 0.681 0.357
0.400 0.096 0.784
0.468 0.348 0.246
0.532 0.652 0.754
0.600 0.904 0.216
0.782 0.319 0.643
0.885 0.180 0.044
0.225 0.458 0.925
0.775 0.542 0.075
```

Output
V ... 16.9 A^3/atom
Magnetization ... 0.0 μB per cell
Total energy ... -4.514 eV per atom

=====

[15]
VASP calculation (PBE) on crystalline MgAl2Ir at its relaxed geometry.

Geometry as POSCAR:
```
MgAl2Ir
1.0
8.890 0.000 0.000
0.000 2.968 0.000
-0.898 0.000 4.811
Mg Al Ir
2 4 2
direct
0.000 0.000 0.000
0.500 0.500 0.000
0.234 0.000 0.718
0.266 0.500 0.282
0.734 0.500 0.718
0.766 0.000 0.282
0.000 0.500 0.500
0.500 0.000 0.500
```

Output
V ... 15.9 A^3/atom
Magnetization ... 0.0 μB per cell
Total energy ... -4.919 eV per atom

=====

[16]
VASP calculation (PBE) on crystalline MgAlIr3 at its relaxed geometry.

Geometry as POSCAR:
```
MgAlIr3
1.0
4.457 0.000 0.000
0.000 4.457 0.000
0.000 0.000 4.457
Mg Al Ir
1 1 3
direct
0.000 0.000 0.000
0.500 0.500 0.500
0.000 0.000 0.500
0.000 0.500 0.000
0.500 0.000 0.000
```

Output
V ... 17.7 A^3/atom
Magnetization ... 0.0 μB per cell
Total energy ... -5.066 eV per atom

=====

[17]
VASP calculation (PBE) on crystalline MgAlIr at its relaxed geometry.

Geometry as POSCAR:
```
MgAlIr
1.0
6.028 0.000 0.000
0.000 6.028 0.000
0.000 0.000 6.028
Mg Al Ir
4 4 4
direct
0.000 0.000 0.000
0.000 0.500 0.500
0.500 0.000 0.500
0.500 0.500 0.000
0.000 0.000 0.500
0.000 0.500 0.000
0.500 0.000 0.000
0.500 0.500 0.500
0.250 0.250 0.750
0.250 0.750 0.250
0.750 0.250 0.250
0.750 0.750 0.750
```

Output
V ... 18.3 A^3/atom
Magnetization ... 0.0 μB per cell
Total energy ... -5.169 eV per atom

=====

[18]
VASP calculation (PBE) on crystalline MgAl2Ir at its relaxed geometry.

Geometry as POSCAR:
```
MgAl2Ir
1.0
9.338 0.000 0.000
0.000 2.967 0.000
-1.040 0.000 4.520
Mg Al Ir
2 4 2
direct
0.000 0.000 0.000
0.500 0.500 0.000
0.025 0.500 0.525
0.267 0.500 0.267
0.525 0.000 0.525
0.767 0.000 0.267
0.252 0.000 0.747
0.752 0.500 0.747
```

Output
V ... 15.7 A^3/atom
Magnetization ... 0.0 μB per cell
Total energy ... -4.832 eV per atom

=====

[19]
VASP calculation (PBE) on crystalline MgAlIr2 at its relaxed geometry.

Geometry as POSCAR:
```
MgAlIr2
1.0
4.518 0.000 0.000
0.000 2.857 0.000
-1.868 0.000 4.612
Mg Al Ir
1 1 2
direct
0.000 0.000 0.000
0.000 0.500 0.500
0.500 0.000 0.500
0.500 0.500 0.000
```

Output
V ... 14.9 A^3/atom
Magnetization ... 0.0 μB per cell
Total energy ... -6.170 eV per atom

=====

[20]
VASP calculation (PBE) on crystalline Mg2AlIr at its relaxed geometry.

Geometry as POSCAR:
```
Mg2AlIr
1.0
5.602 0.000 0.000
0.000 7.683 0.000
0.000 0.000 3.082
Mg Al Ir
4 2 2
direct
0.250 0.250 0.000
0.250 0.750 0.000
0.750 0.250 0.000
0.750 0.750 0.000
0.000 0.000 0.500
0.500 0.500 0.500
0.000 0.500 0.500
0.500 0.000 0.500
```

Output
V ... 16.6 A^3/atom
Magnetization ... 0.0 μB per cell
Total energy ... -4.149 eV per atom